Record 1
A plane-wave DFT calculation with PBE-GGA was carried out for crystalline Rb2Be2PbO6 at its relaxed geometry.

Output
Space group: P-3m1 (164)
Formation energy without anion corrections, meV per atom: -1403.8
E, Ha/atom: -0.1947

Unit cell a=5.6855 b=5.6855 c=6.7934 alpha=90.00 beta=90.00 gamma=120.00
Closest atoms and distances in Å follow each position.
Fractional coordinates of all 11 atoms:
Rb (0.3333, 0.6667, 0.3501)  6 O 3.04, 1 Be 3.29
Rb (0.6667, 0.3333, 0.6499)  6 O 3.04, 1 Be 3.29
Be (0.3333, 0.6667, 0.8342)  3 O 1.52
Be (0.6667, 0.3333, 0.1658)  3 O 1.52
Pb (0.0000, 0.0000, 0.0000)  6 O 2.20
O (0.1795, 0.3590, 0.8084)  1 Be 1.52
O (0.1795, 0.8205, 0.8084)  1 Be 1.52
O (0.3590, 0.1795, 0.1916)  1 Be 1.52
O (0.6410, 0.8205, 0.8084)  1 Be 1.52
O (0.8205, 0.1795, 0.1916)  1 Be 1.52
O (0.8205, 0.6410, 0.1916)  1 Be 1.52

Record 2
A plane-wave DFT calculation with PBE-GGA was carried out for crystalline BePbS2O8 at its relaxed geometry.

Output
Space group: C2/m (12)
Formation energy without anion corrections, meV per atom: -1528.2
E, Ha/atom: -0.2257

Unit cell a=4.6926 b=4.6926 c=7.3947 alpha=94.69 beta=94.69 gamma=65.50
Closest atoms and distances in Å follow each position.
Fractional coordinates of all 12 atoms:
Be (0.0000, 0.0000, 0.0000)  6 O 1.73-1.94
Pb (0.0000, 0.0000, 0.5000)  6 O 2.65-2.66
S (0.3618, 0.3618, 0.2046)  4 O 1.46-1.50
S (0.6382, 0.6382, 0.7954)  4 O 1.46-1.50
O (0.2165, 0.2165, 0.0662)  1 S 1.46
O (0.2286, 0.7090, 0.1859)  1 S 1.50
O (0.2910, 0.7714, 0.8141)  1 S 1.50
O (0.3112, 0.3112, 0.3950)  1 S 1.50
O (0.6888, 0.6888, 0.6050)  1 S 1.50
O (0.7090, 0.2286, 0.1859)  1 S 1.50
O (0.7714, 0.2910, 0.8141)  1 S 1.50
O (0.7835, 0.7835, 0.9338)  1 S 1.46

Record 3
A plane-wave DFT calculation with PBE-GGA was carried out for crystalline Be2PbSO at its relaxed geometry.

Output
Space group: P4/mmm (123)
Formation energy without anion corrections, meV per atom: 1043.2
E, Ha/atom: -0.1105

Unit cell a=4.8565 b=4.8565 c=4.2020 alpha=90.00 beta=90.00 gamma=90.00
Closest atoms and distances in Å follow each position.
Fractional coordinates of all 5 atoms:
Be (0.0000, 0.5000, 0.0000)  2 Pb 2.43
Be (0.5000, 0.0000, 0.0000)  2 Pb 2.43
Pb (0.0000, 0.0000, 0.0000)  2 O 2.10
S (0.5000, 0.5000, 0.5000)  8 Be 3.21, 4 O 3.43
O (0.0000, 0.0000, 0.5000)  2 Pb 2.10

Record 4
A plane-wave DFT calculation with PBE-GGA was carried out for crystalline Be4Sb3PbO12 at its relaxed geometry.

Output
Space group: R32 (155)
Formation energy without anion corrections, meV per atom: -1795.5
E, Ha/atom: -0.2322

Unit cell a=6.4892 b=6.4892 c=6.4892 alpha=104.63 beta=104.63 gamma=104.63
Closest atoms and distances in Å follow each position.
Fractional coordinates of all 20 atoms:
Be (0.0000, 0.0000, 0.0000)  3 O 1.57
Be (0.0000, 0.4402, 0.5598)  3 O 1.53-1.60
Be (0.4402, 0.5598, 0.0000)  3 O 1.53-1.60
Be (0.5598, 0.0000, 0.4402)  3 O 1.53-1.60
Sb (0.0522, 0.9478, 0.5000)  6 O 1.98-2.12
Sb (0.5000, 0.0522, 0.9478)  6 O 1.98-2.12
Sb (0.9478, 0.5000, 0.0522)  6 O 1.98-2.12
Pb (0.5000, 0.5000, 0.5000)  6 O 2.58
O (0.0000, 0.5960, 0.4040)  1 Be 1.60
O (0.0000, 0.8470, 0.1530)  1 Be 1.57
O (0.1240, 0.2690, 0.5224)  1 Be 1.53
O (0.1530, 0.0000, 0.8470)  1 Be 1.57
O (0.2690, 0.5224, 0.1240)  1 Be 1.53
O (0.4040, 0.0000, 0.5960)  1 Be 1.60
O (0.4776, 0.7310, 0.8760)  1 Be 1.53
O (0.5224, 0.1240, 0.2690)  1 Be 1.53
O (0.5960, 0.4040, 0.0000)  1 Be 1.60
O (0.7310, 0.8760, 0.4776)  1 Be 1.53
O (0.8470, 0.1530, 0.0000)  1 Be 1.57
O (0.8760, 0.4776, 0.7310)  1 Be 1.53

Record 5
A plane-wave DFT calculation with PBE-GGA was carried out for crystalline Be2SbPb2O6 at its relaxed geometry.

Output
Space group: P-3 (147)
Formation energy without anion corrections, meV per atom: -1637.6
E, Ha/atom: -0.2230

Unit cell a=5.1584 b=5.1584 c=7.4518 alpha=90.00 beta=90.00 gamma=120.00
Closest atoms and distances in Å follow each position.
Fractional coordinates of all 11 atoms:
Be (0.3333, 0.6667, 0.3418)  3 O 1.56
Be (0.6667, 0.3333, 0.6582)  3 O 1.56
Sb (0.0000, 0.0000, 0.5000)  6 O 2.12
Pb (0.3333, 0.6667, 0.8359)  3 O 2.28
Pb (0.6667, 0.3333, 0.1641)  3 O 2.28
O (0.0464, 0.6944, 0.3314)  1 Be 1.56
O (0.3056, 0.3520, 0.3314)  1 Be 1.56
O (0.3520, 0.0464, 0.6686)  1 Be 1.56
O (0.6480, 0.9536, 0.3314)  1 Be 1.56
O (0.6944, 0.6480, 0.6686)  1 Be 1.56
O (0.9536, 0.3056, 0.6686)  1 Be 1.56

Record 6
A plane-wave DFT calculation with PBE-GGA was carried out for crystalline BePbSe2O8 at its relaxed geometry.

Output
Space group: C2/m (12)
Formation energy without anion corrections, meV per atom: -999.5
E, Ha/atom: -0.2023

Unit cell a=4.8508 b=4.8508 c=7.5133 alpha=94.42 beta=94.42 gamma=67.34
Closest atoms and distances in Å follow each position.
Fractional coordinates of all 12 atoms:
Be (0.0000, 0.0000, 0.0000)  2 O 1.73
Pb (0.0000, 0.0000, 0.5000)  6 O 2.62-2.67
Se (0.3649, 0.3649, 0.2029)  4 O 1.65-1.69
Se (0.6351, 0.6351, 0.7971)  4 O 1.65-1.69
O (0.2149, 0.2149, 0.0371)  1 Se 1.65, 1 Be 1.73
O (0.2323, 0.7398, 0.1899)  1 Se 1.69
O (0.2602, 0.7677, 0.8101)  1 Se 1.69
O (0.3059, 0.3059, 0.4114)  1 Se 1.68
O (0.6941, 0.6941, 0.5886)  1 Se 1.68
O (0.7398, 0.2323, 0.1899)  1 Se 1.69
O (0.7677, 0.2602, 0.8101)  1 Se 1.69
O (0.7851, 0.7851, 0.9629)  1 Se 1.65, 1 Be 1.73

Record 7
A plane-wave DFT calculation with PBE-GGA was carried out for crystalline BeSi2PbO6 at its relaxed geometry.

Output
Space group: C2/c (15)
Formation energy without anion corrections, meV per atom: -2431.2
E, Ha/atom: -0.2658

Unit cell a=7.2240 b=7.2240 c=5.4259 alpha=104.62 beta=104.62 gamma=95.47
Closest atoms and distances in Å follow each position.
Fractional coordinates of all 20 atoms:
Be (0.2300, 0.7700, 0.7500)  4 O 1.64
Be (0.7700, 0.2300, 0.2500)  4 O 1.64
Si (0.1409, 0.3137, 0.6388)  4 O 1.62-1.66
Si (0.3137, 0.1409, 0.1388)  4 O 1.62-1.66
Si (0.6863, 0.8591, 0.8612)  4 O 1.62-1.66
Si (0.8591, 0.6863, 0.3612)  4 O 1.62-1.66
Pb (0.3247, 0.6753, 0.2500)  4 O 2.38-2.46
Pb (0.6753, 0.3247, 0.7500)  4 O 2.38-2.46
O (0.0894, 0.7803, 0.4666)  1 Si 1.63, 1 Be 1.64
O (0.1780, 0.5478, 0.7654)  1 Si 1.62, 1 Be 1.64
O (0.2197, 0.9106, 0.0334)  1 Si 1.63, 1 Be 1.64
O (0.2357, 0.2592, 0.3873)  2 Si 1.65-1.66
O (0.2592, 0.2357, 0.8873)  2 Si 1.65-1.66
O (0.4522, 0.8220, 0.7346)  1 Si 1.62, 1 Be 1.64
O (0.5478, 0.1780, 0.2654)  1 Si 1.62, 1 Be 1.64
O (0.7408, 0.7643, 0.1127)  2 Si 1.65-1.66
O (0.7643, 0.7408, 0.6127)  2 Si 1.65-1.66
O (0.7803, 0.0894, 0.9666)  1 Si 1.63, 1 Be 1.64
O (0.8220, 0.4522, 0.2346)  1 Si 1.62, 1 Be 1.64
O (0.9106, 0.2197, 0.5334)  1 Si 1.63, 1 Be 1.64

Record 8
A plane-wave DFT calculation with PBE-GGA was carried out for crystalline Sr2Be2PbO6 at its relaxed geometry.

Output
Space group: R-3m (166)
Formation energy without anion corrections, meV per atom: -2211.8
E, Ha/atom: -0.2292

Unit cell a=6.4525 b=6.4525 c=6.4525 alpha=50.44 beta=50.44 gamma=50.44
Closest atoms and distances in Å follow each position.
Fractional coordinates of all 11 atoms:
Sr (0.2114, 0.2114, 0.2114)  9 O 2.67-2.81
Sr (0.7886, 0.7886, 0.7886)  9 O 2.67-2.81
Be (0.4165, 0.4165, 0.4165)  3 O 1.54
Be (0.5835, 0.5835, 0.5835)  3 O 1.54
Pb (0.0000, 0.0000, 0.0000)  6 O 2.19
O (0.2566, 0.7423, 0.7423)  1 Be 1.54
O (0.2577, 0.2577, 0.7434)  1 Be 1.54
O (0.2577, 0.7434, 0.2577)  1 Be 1.54
O (0.7423, 0.2566, 0.7423)  1 Be 1.54
O (0.7423, 0.7423, 0.2566)  1 Be 1.54
O (0.7434, 0.2577, 0.2577)  1 Be 1.54

Record 9
A plane-wave DFT calculation with PBE-GGA was carried out for crystalline BeTcPb2O6 at its relaxed geometry.

Output
Space group: Cm (8)
Formation energy without anion corrections, meV per atom: -1420.9
E, Ha/atom: -0.2406

Unit cell a=5.4227 b=5.4227 c=6.5502 alpha=124.81 beta=124.81 gamma=63.19
Closest atoms and distances in Å follow each position.
Fractional coordinates of all 10 atoms:
Be (0.0000, 0.0000, 0.0000)  4 O 1.68-1.76
Tc (0.4922, 0.4922, 0.3622)  6 O 1.85-2.07
Pb (0.2278, 0.2278, 0.6973)  5 O 2.41-2.65
Pb (0.7156, 0.7156, 0.1144)  4 O 2.45-2.50
O (0.1981, 0.1981, 0.0369)  1 Be 1.68
O (0.2094, 0.6989, 0.5082)  1 Tc 1.85
O (0.2585, 0.7526, 0.1429)  1 Be 1.70
O (0.6989, 0.2094, 0.5082)  1 Tc 1.85
O (0.7526, 0.2585, 0.1429)  1 Be 1.70
O (0.7661, 0.7661, 0.6676)  1 Be 1.76, 1 Tc 1.90

Record 10
A plane-wave DFT calculation with PBE-GGA was carried out for crystalline BeTc2PbO8 at its relaxed geometry.

Output
Space group: C2/m (12)
Formation energy without anion corrections, meV per atom: -1323.7
E, Ha/atom: -0.2564

Unit cell a=6.1648 b=6.1648 c=6.7970 alpha=114.13 beta=114.13 gamma=48.45
Closest atoms and distances in Å follow each position.
Fractional coordinates of all 12 atoms:
Be (0.0000, 0.0000, 0.0000)  4 O 1.71
Tc (0.3067, 0.3067, 0.8412)  4 O 1.77-1.81
Tc (0.6933, 0.6933, 0.1588)  4 O 1.77-1.81
Pb (0.5000, 0.5000, 0.5000)  2 O 2.52
O (0.1369, 0.6721, 0.8121)  1 Be 1.71, 1 Tc 1.81
O (0.1400, 0.1400, 0.6355)  1 Tc 1.77
O (0.3167, 0.3167, 0.1107)  1 Tc 1.78
O (0.3279, 0.8631, 0.1879)  1 Be 1.71, 1 Tc 1.81
O (0.6721, 0.1369, 0.8121)  1 Be 1.71, 1 Tc 1.81
O (0.6833, 0.6833, 0.8893)  1 Tc 1.78
O (0.8600, 0.8600, 0.3645)  1 Tc 1.77
O (0.8631, 0.3279, 0.1879)  1 Be 1.71, 1 Tc 1.81

Record 11
A plane-wave DFT calculation with PBE-GGA was carried out for crystalline BeTe2PbO6 at its relaxed geometry.

Output
Space group: C2/c (15)
Formation energy without anion corrections, meV per atom: -1315.3
E, Ha/atom: -0.2081

Unit cell a=7.3898 b=7.3898 c=7.6692 alpha=109.45 beta=109.45 gamma=101.03
Closest atoms and distances in Å follow each position.
Fractional coordinates of all 20 atoms:
Be (0.2098, 0.7902, 0.7500)  4 O 1.58-1.73
Be (0.7902, 0.2098, 0.2500)  4 O 1.58-1.73
Te (0.2576, 0.4694, 0.3511)  3 O 1.84-2.03
Te (0.4694, 0.2576, 0.8511)  3 O 1.84-2.03
Te (0.5306, 0.7424, 0.1489)  3 O 1.84-2.03
Te (0.7424, 0.5306, 0.6489)  3 O 1.84-2.03
Pb (0.0612, 0.9388, 0.2500)  2 O 2.34
Pb (0.9388, 0.0612, 0.7500)  2 O 2.34
O (0.0013, 0.2200, 0.1984)  1 Be 1.73
O (0.1882, 0.6114, 0.5516)  1 Be 1.58
O (0.2200, 0.0013, 0.6984)  1 Be 1.73
O (0.3086, 0.3885, 0.9644)  1 Te 1.92
O (0.3885, 0.3086, 0.4644)  1 Te 1.92
O (0.3886, 0.8118, 0.9484)  1 Be 1.58
O (0.6114, 0.1882, 0.0516)  1 Be 1.58
O (0.6115, 0.6914, 0.5356)  1 Te 1.92
O (0.6914, 0.6115, 0.0356)  1 Te 1.92
O (0.7800, 0.9987, 0.3016)  1 Be 1.73
O (0.8118, 0.3886, 0.4484)  1 Be 1.58
O (0.9987, 0.7800, 0.8016)  1 Be 1.73

Record 12
A plane-wave DFT calculation with PBE-GGA was carried out for crystalline BeTe2PbO8 at its relaxed geometry.

Output
Space group: Cmmm (65)
Formation energy without anion corrections, meV per atom: -997.7
E, Ha/atom: -0.2001

Unit cell a=4.8391 b=4.8391 c=6.4701 alpha=90.00 beta=90.00 gamma=95.63
Closest atoms and distances in Å follow each position.
Fractional coordinates of all 12 atoms:
Be (0.0000, 0.0000, 0.0000)  4 O 1.84
Te (0.5000, 0.5000, 0.2325)  6 O 2.01-2.14
Te (0.5000, 0.5000, 0.7675)  6 O 2.01-2.14
Pb (0.0000, 0.0000, 0.5000)  6 O 2.24-2.32
O (0.1901, 0.1901, 0.2114)  1 Be 1.84, 1 Te 2.02
O (0.1901, 0.1901, 0.7886)  1 Be 1.84, 1 Te 2.02
O (0.3135, 0.6865, 0.0000)  2 Te 2.01, 1 Be 2.25
O (0.3236, 0.6764, 0.5000)  2 Te 2.14, 1 Pb 2.32
O (0.6764, 0.3236, 0.5000)  2 Te 2.14, 1 Pb 2.32
O (0.6865, 0.3135, 0.0000)  2 Te 2.01, 1 Be 2.25
O (0.8099, 0.8099, 0.2114)  1 Be 1.84, 1 Te 2.02
O (0.8099, 0.8099, 0.7886)  1 Be 1.84, 1 Te 2.02